VASP calculation (PBE) on crystalline ScVIrW2 at its relaxed geometry.

Its formation energy is 1.473 eV/atom. The value obtained for the calculated volume is 109.2 Å³/f.u. As for the space-group type: No. 123.

Lattice parameters (Å, degrees): 4.792 4.757 4.792 90.00 90.00 90.00
Each line ends with the local moment (μB).
Fractional positions:
1 Sc 0.000 0.500 0.000  0.04
2 Ir 0.000 0.000 0.000  0.00
3 W 0.000 0.000 0.500  0.15
4 W 0.500 0.000 0.000  0.19
5 V 0.500 0.500 0.500  -0.38